1.
First-principles (PBE) data for a relaxed structure of LiCuGeOs, as listed in OQMD. Values from VASP.

```
&SYSTEM
  ibrav = 0, nat = 4, ntyp = 4
/
ATOMIC_SPECIES
Os 190.23 Os.upf
Ge 72.64 Ge.upf
Li 6.94 Li.upf
Cu 63.55 Cu.upf
ATOMIC_POSITIONS angstrom
Os 0.0161 -4.6612 2.1661
Ge 0.0000 0.0000 0.0000
Li 0.0080 -2.3306 1.0831
Cu 0.0241 -6.9918 3.2492
CELL_PARAMETERS angstrom
2.1069 -2.5894 2.5433
-2.0898 -2.6044 2.5422
0.0150 -4.1286 -0.7532
```

The calculation puts the total energy at -19.887 eV/cell. For the excess energy over the best structure of this formula in the dataset, the calculation gives 334 meV/atom.

=====

2.
First-principles (PBE) data for a relaxed structure of Li4Cu2GePb, as listed in OQMD. Values from VASP.

```
&SYSTEM
  ibrav = 0, nat = 8, ntyp = 4
/
ATOMIC_SPECIES
Cu 63.55 Cu.upf
Ge 72.64 Ge.upf
Li 6.94 Li.upf
Pb 207.20 Pb.upf
ATOMIC_POSITIONS angstrom
Cu 0.0000 2.1452 5.0220
Cu 2.1452 0.0000 1.3881
Ge 0.0000 0.0000 0.0000
Li 2.1452 0.0000 5.0020
Li 0.0000 2.1452 1.4081
Li 0.0000 0.0000 3.2050
Li 2.1452 2.1452 0.0000
Pb 2.1452 2.1452 3.2050
CELL_PARAMETERS angstrom
4.2903 0.0000 0.0000
0.0000 4.2903 0.0000
0.0000 0.0000 6.4101
```

The calculation puts the total energy at -25.474 eV/cell.